(1)
The following is a DFT calculation (PBE) of a relaxed SmMgH8Pt2 crystal.

For the total energy, the calculation gives -142.15 eV for the cell shown.

The space group is R-3 (No. 148, hexagonal axes) and the conventional cell measures 4.8476, 4.8476 and 17.5797 Å, with angles of 90.00, 90.00 and 120.00 degrees. Symmetry generates all atoms from Sm at (0.0000, 0.0000, 0.0000), Mg at (0.0000, 0.0000, 0.5000), H at (0.0000, 0.0000, 0.3294), H at (0.0051, 0.6914, 0.1003) and Pt at (0.0000, 0.0000, 0.2383).


(2)
The following is a DFT calculation (PBE) of a relaxed SrMgH8Pt2 crystal.

For the total energy, the calculation gives -132.33 eV for the cell shown.

The space group is R-3 (No. 148, hexagonal axes) and the conventional cell measures 4.9434, 4.9434 and 17.8968 Å, with angles of 90.00, 90.00 and 120.00 degrees. Symmetry generates all atoms from Sr at (0.0000, 0.0000, 0.0000), Mg at (0.0000, 0.0000, 0.5000), H at (0.0000, 0.0000, 0.3152), H at (0.0002, 0.3194, 0.1042) and Pt at (0.0000, 0.0000, 0.2263).


(3)
The following is a DFT calculation (PBE) of a relaxed Mg2TcHPt crystal.

For the total energy, the calculation gives -24.08 eV for the cell shown.

The space group is P4/mmm (No. 123) and the conventional cell measures 4.311, 4.311 and 3.579 Å, with angles of 90.00, 90.00 and 90.00 degrees. Symmetry generates all atoms from Mg at (0.000, 0.500, 0.000), Tc at (0.000, 0.000, 0.500), H at (0.000, 0.000, 0.000) and Pt at (0.500, 0.500, 0.500).


(4)
The following is a DFT calculation (PBE) of a relaxed MgTi2HPt crystal.

The energy above the lowest structure with this stoichiometry comes out at 0.0991 eV per atom.

The space group is P4/mmm (No. 123) and the conventional cell measures 4.100, 4.100 and 4.054 Å, with angles of 90.00, 90.00 and 90.00 degrees. Symmetry generates all atoms from Mg at (0.000, 0.000, 0.000), Ti at (0.000, 0.500, 0.500), H at (0.500, 0.500, 0.500) and Pt at (0.500, 0.500, 0.000).